one.
DFT (PBE-GGA) results for ZnP2Se after structural relaxation.

a b c (Å): 7.1865 7.1865 7.1865
angles (deg): 135.13 135.13 65.33
Last column: nearest neighbours and their distance in Å.
Sites, in units of the cell vectors:
Zn (0.0000, 0.0000, 0.0000)  4 P 2.40
Zn (0.7500, 0.2500, 0.5000)  4 P 2.40
P (0.1041, 0.6250, 0.9791)  2 Zn 2.40, 2 Se 2.53
P (0.3750, 0.3541, 0.4791)  2 Zn 2.40, 2 Se 2.53
P (0.6459, 0.1250, 0.0209)  2 Zn 2.40, 2 Se 2.53
P (0.8750, 0.8959, 0.5209)  2 Zn 2.40, 2 Se 2.53
Se (0.2500, 0.7500, 0.5000)  4 P 2.53
Se (0.5000, 0.5000, 0.0000)  4 P 2.53

Computed properties:
**Space group**: I-42d, No. 122
**Spin magnetization**: 0.0 Bohr magnetons per cell

---

two.
DFT (PBE-GGA) results for ZnP2Se after structural relaxation.

a b c (Å): 10.8080 10.8080 10.8080
angles (deg): 15.16 15.16 15.16
Last column: nearest neighbours and their distance in Å.
Sites, in units of the cell vectors:
Zn (0.0000, 0.0000, 0.0000)  6 P 2.58, 6 Zn 2.85
P (0.2715, 0.2715, 0.2715)  3 Zn 2.58, 6 P 2.85
P (0.7285, 0.7285, 0.7285)  3 Zn 2.58, 6 P 2.85
Se (0.5000, 0.5000, 0.5000)  6 Se 2.85

Computed properties:
**Space group**: R-3m, No. 166
**Spin magnetization**: 0.0 Bohr magnetons per cell

---

Which of them is most stable, and which least? Most stable: one; least stable: two.

---

one.
DFT (PBE-GGA) results for ZnP2Se after structural relaxation.

a b c (Å): 4.5469 4.5469 4.5469
angles (deg): 60.00 60.00 60.00
Last column: nearest neighbours and their distance in Å.
Sites, in units of the cell vectors:
Zn (0.0000, 0.0000, 0.0000)  8 P 2.78
P (0.2500, 0.2500, 0.2500)  4 Se 2.78, 4 Zn 2.78
P (0.7500, 0.7500, 0.7500)  4 Se 2.78, 4 Zn 2.78
Se (0.5000, 0.5000, 0.5000)  8 P 2.78

Computed properties:
**Space group**: Fm-3m, No. 225
**Spin magnetization**: 0.0 Bohr magnetons per cell

---

two.
DFT (PBE-GGA) results for ZnP2Se after structural relaxation.

a b c (Å): 3.4384 3.4384 8.8380
angles (deg): 90.00 90.00 90.00
Last column: nearest neighbours and their distance in Å.
Sites, in units of the cell vectors:
Zn (0.0000, 0.0000, 0.0000)  4 Se 2.43
P (0.0000, 0.5000, 0.5000)  4 P 2.43
P (0.5000, 0.0000, 0.5000)  4 P 2.43
Se (0.5000, 0.5000, 0.0000)  4 Zn 2.43

Computed properties:
**Space group**: P4/mmm, No. 123
**Spin magnetization**: 0.0 Bohr magnetons per cell

---

three.
DFT (PBE-GGA) results for ZnP2Se after structural relaxation.

a b c (Å): 7.4594 7.4594 7.4594
angles (deg): 28.32 28.32 28.32
Last column: nearest neighbours and their distance in Å.
Sites, in units of the cell vectors:
Zn (0.0000, 0.0000, 0.0000)  3 Se 2.37
P (0.2254, 0.2254, 0.2254)  3 P 2.39
P (0.5062, 0.5062, 0.5062)  3 P 2.39
Se (0.7172, 0.7172, 0.7172)  3 Zn 2.37

Computed properties:
**Space group**: R3m, No. 160
**Spin magnetization**: 0.0 Bohr magnetons per cell

---

four.
DFT (PBE-GGA) results for ZnP2Se after structural relaxation.

a b c (Å): 3.4027 5.9018 3.8491
angles (deg): 90.00 91.10 90.00
Last column: nearest neighbours and their distance in Å.
Sites, in units of the cell vectors:
Zn (0.0000, 0.0000, 0.0000)  4 Se 2.54-2.59
P (0.2376, 0.5000, 0.8196)  2 P 2.15-2.24
P (0.7624, 0.5000, 0.1804)  2 P 2.15-2.24
Se (0.5000, 0.0000, 0.5000)  4 Zn 2.54-2.59

Computed properties:
**Space group**: P2/m, No. 10
**Spin magnetization**: 0.0 Bohr magnetons per cell

---

Which of them is most stable, and which least? Most stable: three; least stable: one.

---

one.
DFT (PBE-GGA) results for ZnP2Se after structural relaxation.

a b c (Å): 3.5639 3.5639 5.7360
angles (deg): 90.00 90.00 90.00
Last column: nearest neighbours and their distance in Å.
Sites, in units of the cell vectors:
Zn (0.0000, 0.0000, 0.0000)  1 P 2.38, 4 Se 2.64
P (0.0000, 0.0000, 0.4151)  1 Zn 2.38, 4 P 2.53
P (0.5000, 0.5000, 0.4610)  1 Se 2.32, 4 P 2.53
Se (0.5000, 0.5000, 0.8654)  1 P 2.32

Computed properties:
**Space group**: P4mm, No. 99
**Spin magnetization**: 0.0 Bohr magnetons per cell

---

two.
DFT (PBE-GGA) results for ZnP2Se after structural relaxation.

a b c (Å): 4.0279 4.0279 7.9543
angles (deg): 103.63 103.63 37.85
Last column: nearest neighbours and their distance in Å.
Sites, in units of the cell vectors:
Zn (0.0000, 0.0000, 0.0000)  6 P 2.56-2.62, 2 Zn 2.61
P (0.3337, 0.3337, 0.1909)  1 Se 2.47, 3 Zn 2.56-2.62, 2 P 2.61
P (0.6663, 0.6663, 0.8091)  1 Se 2.47, 3 Zn 2.56-2.62, 2 P 2.61
Se (0.5000, 0.5000, 0.5000)  2 P 2.47, 2 Se 2.61

Computed properties:
**Space group**: C2/m, No. 12
**Spin magnetization**: 0.0 Bohr magnetons per cell

---

three.
DFT (PBE-GGA) results for ZnP2Se after structural relaxation.

a b c (Å): 4.5632 4.5632 3.1920
angles (deg): 90.00 90.00 90.00
Last column: nearest neighbours and their distance in Å.
Sites, in units of the cell vectors:
Zn (0.0000, 0.0000, 0.0000)  8 P 2.78
P (0.0000, 0.5000, 0.5000)  4 Se 2.78, 4 Zn 2.78
P (0.5000, 0.0000, 0.5000)  4 Se 2.78, 4 Zn 2.78
Se (0.5000, 0.5000, 0.0000)  8 P 2.78

Computed properties:
**Space group**: P4/mmm, No. 123
**Spin magnetization**: 0.0 Bohr magnetons per cell

---

Which of them is most stable, and which least? Most stable: one; least stable: three.

---

one.
DFT (PBE-GGA) results for ZnP2Se after structural relaxation.

a b c (Å): 5.2376 5.2376 2.6037
angles (deg): 91.70 91.70 90.10
Last column: nearest neighbours and their distance in Å.
Sites, in units of the cell vectors:
Zn (0.0000, 0.0000, 0.0000)  2 Zn 2.60, 4 P 2.62
P (0.0000, 0.5000, 0.0000)  2 P 2.60, 2 Se 2.62, 2 Zn 2.62
P (0.5000, 0.0000, 0.0000)  2 P 2.60, 2 Se 2.62, 2 Zn 2.62
Se (0.5000, 0.5000, 0.0000)  2 Se 2.60, 4 P 2.62

Computed properties:
**Space group**: C2/m, No. 12
**Spin magnetization**: 0.0 Bohr magnetons per cell

---

two.
DFT (PBE-GGA) results for ZnP2Se after structural relaxation.

a b c (Å): 3.1975 4.5268 4.5522
angles (deg): 90.00 90.00 90.00
Last column: nearest neighbours and their distance in Å.
Sites, in units of the cell vectors:
Zn (0.0000, 0.0000, 0.0000)  4 P 2.77, 4 Se 2.78
P (0.0000, 0.5000, 0.5000)  4 Se 2.77, 4 P 2.78
P (0.5000, 0.5000, 0.0000)  4 Zn 2.77, 4 P 2.78
Se (0.5000, 0.0000, 0.5000)  4 P 2.77, 4 Zn 2.78

Computed properties:
**Space group**: Pmmm, No. 47
**Spin magnetization**: 0.0 Bohr magnetons per cell

---

three.
DFT (PBE-GGA) results for ZnP2Se after structural relaxation.

a b c (Å): 8.7994 8.7994 8.7994
angles (deg): 159.87 156.38 31.22
Last column: nearest neighbours and their distance in Å.
Sites, in units of the cell vectors:
Zn (0.0000, 0.0000, 0.0000)  2 Se 2.46
P (0.3173, 0.8173, 0.5000)  2 P 2.14
P (0.4047, 0.4047, 0.0000)  2 P 2.14
Se (0.5993, 0.0993, 0.5000)  2 Zn 2.46

Computed properties:
**Space group**: Imm2, No. 44
**Spin magnetization**: 0.0 Bohr magnetons per cell

---

four.
DFT (PBE-GGA) results for ZnP2Se after structural relaxation.

a b c (Å): 3.1722 3.1722 9.0445
angles (deg): 90.00 90.00 90.00
Last column: nearest neighbours and their distance in Å.
Sites, in units of the cell vectors:
Zn (0.0000, 0.0000, 0.0000)  1 P 2.35, 4 Se 2.61
P (0.0000, 0.0000, 0.2598)  1 Zn 2.35, 4 P 2.41
P (0.5000, 0.5000, 0.3565)  4 P 2.41
Se (0.5000, 0.5000, 0.8526)  4 Zn 2.61

Computed properties:
**Space group**: P4mm, No. 99
**Spin magnetization**: 0.0 Bohr magnetons per cell

---

Which of them is most stable, and which least? Most stable: four; least stable: two.

---

one.
DFT (PBE-GGA) results for ZnP2Se after structural relaxation.

a b c (Å): 4.4973 4.4973 4.4973
angles (deg): 117.71 117.71 94.01
Last column: nearest neighbours and their distance in Å.
Sites, in units of the cell vectors:
Zn (0.0000, 0.0000, 0.0000)  4 Se 2.79, 6 P 2.79-3.07
P (0.2500, 0.7500, 0.5000)  4 Zn 2.79, 4 P 2.79, 2 Se 3.07
P (0.5000, 0.5000, 0.0000)  4 Se 2.79, 4 P 2.79, 2 Zn 3.07
Se (0.7500, 0.2500, 0.5000)  4 Zn 2.79, 6 P 2.79-3.07

Computed properties:
**Space group**: I-4m2, No. 119
**Spin magnetization**: 0.0 Bohr magnetons per cell

---

two.
DFT (PBE-GGA) results for ZnP2Se after structural relaxation.

a b c (Å): 2.6296 2.6296 11.5776
angles (deg): 90.00 90.00 90.00
Last column: nearest neighbours and their distance in Å.
Sites, in units of the cell vectors:
Zn (0.0000, 0.0000, 0.0000)  4 Zn 2.63, 8 P 2.73
P (0.5000, 0.5000, 0.1725)  4 P 2.63, 4 Zn 2.73
P (0.5000, 0.5000, 0.8275)  4 P 2.63, 4 Zn 2.73
Se (0.0000, 0.0000, 0.5000)  4 Se 2.63

Computed properties:
**Space group**: P4/mmm, No. 123
**Spin magnetization**: 0.0 Bohr magnetons per cell

---

three.
DFT (PBE-GGA) results for ZnP2Se after structural relaxation.

a b c (Å): 3.1477 3.1477 8.9485
angles (deg): 90.00 90.00 117.13
Last column: nearest neighbours and their distance in Å.
Sites, in units of the cell vectors:
Zn (0.0000, 0.0000, 0.0000)  2 Se 2.50, 2 P 2.64
P (0.0000, 0.0000, 0.4016)  2 P 2.24
P (0.5000, 0.5000, 0.2310)  2 P 2.24
Se (0.5000, 0.5000, 0.7892)  2 Zn 2.50

Computed properties:
**Space group**: Cmm2, No. 35
**Spin magnetization**: 0.0 Bohr magnetons per cell

---

Which of them is most stable, and which least? Most stable: three; least stable: one.